Model 1:
Density functional theory data (PBE-GGA) for crystalline ZnCoBPt at its relaxed geometry.

Density = 12.02 Mg/m³

Unit cell a=5.673 b=5.673 c=5.673 alpha=90.00 beta=90.00 gamma=90.00
Space group F-43m (No. 216)
One atom of each set of equivalent atoms:
Zn1 0.000 0.000 0.000 x4
Co1 0.250 0.250 0.750 x4
B1 0.000 0.000 0.500 x4
Pt1 0.250 0.250 0.250 x4

---

Model 2:
Density functional theory data (PBE-GGA) for crystalline ZnCoBPt at its relaxed geometry.

Density = 11.39 Mg/m³

Unit cell a=5.774 b=5.774 c=5.774 alpha=90.00 beta=90.00 gamma=90.00
Space group F-43m (No. 216)
One atom of each set of equivalent atoms:
Zn1 0.000 0.000 0.000 x4
Co1 0.000 0.000 0.500 x4
B1 0.250 0.250 0.250 x4
Pt1 0.250 0.250 0.750 x4

---

model 1 is preferred energetically. Next in line: 32.6 kJ/mol of atoms higher.

---

Model 1:
Density functional theory data (PBE-GGA) for crystalline ZrCoBPt at its relaxed geometry.

Density = 10.31 Mg/m³

Unit cell a=6.121 b=6.121 c=6.121 alpha=90.00 beta=90.00 gamma=90.00
Space group F-43m (No. 216)
One atom of each set of equivalent atoms:
Zr1 0.000 0.000 0.000 x4
Co1 0.000 0.000 0.500 x4
B1 0.250 0.250 0.250 x4
Pt1 0.250 0.250 0.750 x4

---

Model 2:
Density functional theory data (PBE-GGA) for crystalline ZrCoBPt at its relaxed geometry.

Density = 10.60 Mg/m³

Unit cell a=6.065 b=6.065 c=6.065 alpha=90.00 beta=90.00 gamma=90.00
Space group F-43m (No. 216)
One atom of each set of equivalent atoms:
Zr1 0.000 0.000 0.000 x4
Co1 0.250 0.250 0.750 x4
B1 0.000 0.000 0.500 x4
Pt1 0.250 0.250 0.250 x4

---

model 2 is preferred energetically. Next in line: 0.8 kJ/mol of atoms higher.